## Pm2Mg3Rh2 (PBE-GGA)

Data for a relaxed structure of Pm2Mg3Rh2.

Output
Calculated formation energy   -3.32 eV/f.u.
M_tot   0.000 μB per formula unit

Cell: 4.227 5.596 7.270 Å, 97.19 90.00 112.19°
Element x y z (fractional)
Rh 0.095 0.189 0.658
Rh 0.905 0.811 0.342
Mg 0.316 0.631 0.134
Mg 0.684 0.369 0.866
Mg 0.000 0.000 0.000
Pm 0.375 0.749 0.633
Pm 0.625 0.251 0.367